The following is a PBE calculation of DyTiN after structural relaxation, from Alexandria.

abc: 5.4353 3.2403 3.2403
angles: 120.00 90.00 90.00
Closest atoms and distances in Å follow each position.
Positions (direct):
Ti1 0.2121 0.3333 0.6667  3 N 2.11
N1 0.0320 0.0000 0.0000  3 Ti 2.11
Dy1 0.7559 0.6667 0.3333  3 N 2.40

Computed properties:
- Uncorrected energy: -23.75 eV/cell
- Magnetization: 0.0 μB per cell
- ΔE_f (raw): -975 meV/atom
- N(E_F): 0.7806 states/eV per atom